Entry from Alexandria: a relaxed structure of Pa3Ge2Os (PBE-GGA).

Values from the calculation:
DFT formation energy = -0.45 eV per atom
Total magnetization = 0.000 μB per formula unit
Density = 12.76 g cm⁻³

a = 11.897 Å, b = 4.109 Å, c = 10.951 Å
α = 90.00°, β = 90.00°, γ = 90.00°
Positions (direct):
1 Pa 0.048 0.250 0.121
2 Pa 0.128 0.750 0.561
3 Pa 0.232 0.250 0.782
4 Pa 0.268 0.750 0.282
5 Pa 0.372 0.250 0.061
6 Pa 0.452 0.750 0.621
7 Pa 0.548 0.250 0.379
8 Pa 0.628 0.750 0.939
9 Pa 0.732 0.250 0.718
10 Pa 0.768 0.750 0.218
11 Pa 0.872 0.250 0.439
12 Pa 0.952 0.750 0.879
13 Ge 0.004 0.750 0.303
14 Ge 0.187 0.750 0.000
15 Ge 0.313 0.250 0.500
16 Ge 0.496 0.250 0.803
17 Ge 0.504 0.750 0.197
18 Ge 0.687 0.750 0.500
19 Ge 0.813 0.250 0.000
20 Ge 0.996 0.250 0.697
21 Os 0.125 0.250 0.376
22 Os 0.375 0.750 0.876
23 Os 0.625 0.250 0.124
24 Os 0.875 0.750 0.624